Density functional theory data (GGA-PBE) for a relaxed La2Pr4Sm3 crystal.

## Properties
Magnetization, μB per formula unit: 0.000
DOS(E_F), states/eV/f.u.: 17.17
Energy above the most stable polymorph in this dataset, meV per atom: 0
E_form, eV/atom: 0.058
Crystal system: trigonal

Unit cell a=3.6844 b=3.6844 c=27.6463 alpha=90.00 beta=90.00 gamma=120.00
Space group P3m1 (No. 156)
Unique sites:
La 0.0000 0.0000 0.0000 x1
La 0.0000 0.0000 0.2172 x1
Pr 0.0000 0.0000 0.3457 x1
Pr 0.0000 0.0000 0.5607 x1
Pr 0.3333 0.6667 0.6713 x1
Pr 0.3333 0.6667 0.8873 x1
Sm 0.0000 0.0000 0.7797 x1
Sm 0.3333 0.6667 0.1108 x1
Sm 0.3333 0.6667 0.4505 x1

***

Density functional theory data (GGA-PBE) for a relaxed La4Pr5Sm3 crystal.

## Properties
Magnetization, μB per formula unit: 0.000
DOS(E_F), states/eV/f.u.: 20.84
E_form, eV/atom: 0.183
Crystal system: monoclinic

Unit cell a=16.654 b=6.153 c=9.574 alpha=90.00 beta=116.32 gamma=90.00
Space group C2/m (No. 12)
Unique sites:
La 0.083 0.000 0.439 x4
La 0.215 0.000 0.878 x4
Pr 0.000 0.000 0.000 x2
Pr 0.074 0.500 0.700 x4
Pr 0.171 0.500 0.390 x4
Sm 0.000 0.500 0.000 x2
Sm 0.209 0.000 0.225 x4

***

Density functional theory data (GGA-PBE) for a relaxed La3Pr9Sm2 crystal.

## Properties
Magnetization, μB per formula unit: 0.000
DOS(E_F), states/eV/f.u.: 21.29
E_form, eV/atom: 0.253
Crystal system: orthorhombic

Unit cell a=5.597 b=10.656 c=17.646 alpha=90.00 beta=90.00 gamma=90.00
Space group Immm (No. 71)
Unique sites:
La 0.000 0.000 0.000 x2
La 0.000 0.500 0.328 x4
Pr 0.000 0.150 0.307 x8
Pr 0.000 0.226 0.123 x8
Pr 0.000 0.500 0.000 x2
Sm 0.000 0.255 0.500 x4

***

Density functional theory data (GGA-PBE) for a relaxed LaPr4Sm7 crystal.

## Properties
Magnetization, μB per formula unit: 0.000
DOS(E_F), states/eV/f.u.: 15.93
Energy above the most stable polymorph in this dataset, meV per atom: 0
E_form, eV/atom: 0.012
Crystal system: triclinic

Unit cell a=6.405 b=7.397 c=9.135 alpha=90.03 beta=103.50 gamma=90.00
Space group P-1 (No. 2)
Unique sites:
La 0.000 0.000 0.000 x1
Pr 0.222 0.500 0.669 x2
Pr 0.278 0.249 0.333 x2
Sm 0.000 0.500 0.000 x1
Sm 0.223 0.000 0.668 x2
Sm 0.277 0.751 0.332 x2
Sm 0.500 0.249 0.999 x2

***

Density functional theory data (GGA-PBE) for a relaxed La2Pr9Sm3 crystal.

## Properties
Magnetization, μB per formula unit: 0.000
DOS(E_F), states/eV/f.u.: 19.79
E_form, eV/atom: 0.228
Crystal system: hexagonal

Unit cell a=9.3340 b=9.3340 c=13.8070 alpha=90.00 beta=90.00 gamma=120.00
Space group P6_3/m (No. 176)
Unique sites:
La 0.3333 0.6667 0.1368 x4
Pr 0.0815 0.4810 0.7500 x6
Pr 0.1253 0.7241 0.5383 x12
Sm 0.0801 0.2479 0.2500 x6

***

Density functional theory data (GGA-PBE) for a relaxed La6PrSm12 crystal.

## Properties
Magnetization, μB per formula unit: 0.000
DOS(E_F), states/eV/f.u.: 30.63
Energy above the most stable polymorph in this dataset, meV per atom: 107
E_form, eV/atom: 0.127
Crystal system: trigonal

Unit cell a=12.3513 b=12.3513 c=15.2546 alpha=90.00 beta=90.00 gamma=120.00
Space group R-3 (No. 148, hexagonal axes)
Unique sites:
La 0.0110 0.5911 0.1835 x18
Pr 0.0000 0.0000 0.5000 x3
Sm 0.0021 0.1714 0.6906 x18
Sm 0.0491 0.1943 0.9166 x18

***

Density functional theory data (GGA-PBE) for a relaxed La3Pr2Sm8 crystal.

## Properties
Magnetization, μB per formula unit: 0.000
DOS(E_F), states/eV/f.u.: 23.08
Energy above the most stable polymorph in this dataset, meV per atom: 0
E_form, eV/atom: 0.020
Crystal system: triclinic

Unit cell a=6.356 b=6.370 c=11.608 alpha=89.96 beta=79.45 gamma=80.32
Space group P-1 (No. 2)
Unique sites:
La 0.000 0.000 0.000 x1
La 0.229 0.462 0.077 x2
Pr 0.384 0.769 0.462 x2
Sm 0.077 0.153 0.691 x2
Sm 0.153 0.307 0.385 x2
Sm 0.308 0.614 0.767 x2
Sm 0.462 0.924 0.156 x2

***

Density functional theory data (GGA-PBE) for a relaxed La5Pr4Sm2 crystal.

## Properties
Magnetization, μB per formula unit: 0.000
DOS(E_F), states/eV/f.u.: 17.40
Energy above the most stable polymorph in this dataset, meV per atom: 0
E_form, eV/atom: 0.093
Crystal system: monoclinic

Unit cell a=24.894 b=3.628 c=8.966 alpha=90.00 beta=94.74 gamma=90.00
Space group C2/m (No. 12)
Unique sites:
La 0.000 0.000 0.000 x2
La 0.133 0.500 0.051 x4
La 0.185 0.500 0.472 x4
Pr 0.042 0.500 0.345 x4
Pr 0.088 0.000 0.698 x4
Sm 0.227 0.000 0.826 x4

***

Density functional theory data (GGA-PBE) for a relaxed La7Pr4Sm crystal.

## Properties
Magnetization, μB per formula unit: 0.000
DOS(E_F), states/eV/f.u.: 18.76
Energy above the most stable polymorph in this dataset, meV per atom: 0
E_form, eV/atom: 0.012
Crystal system: triclinic

Unit cell a=6.498 b=7.502 c=9.267 alpha=89.95 beta=76.46 gamma=89.99
Space group P-1 (No. 2)
Unique sites:
La 0.000 0.000 0.000 x1
La 0.222 0.499 0.331 x2
La 0.279 0.750 0.669 x2
La 0.500 0.252 0.000 x2
Pr 0.225 0.000 0.331 x2
Pr 0.275 0.251 0.671 x2
Sm 0.000 0.500 0.000 x1

***

Density functional theory data (GGA-PBE) for a relaxed LaPr5Sm3 crystal.

## Properties
Magnetization, μB per formula unit: 0.000
DOS(E_F), states/eV/f.u.: 13.88
Energy above the most stable polymorph in this dataset, meV per atom: 0
E_form, eV/atom: 0.253
Crystal system: monoclinic

Unit cell a=18.996 b=6.615 c=11.506 alpha=90.00 beta=113.39 gamma=90.00
Space group C2/c (No. 15)
Unique sites:
La 0.000 0.136 0.250 x4
Pr 0.000 0.403 0.750 x4
Pr 0.169 0.179 0.866 x8
Pr 0.169 0.303 0.210 x8
Sm 0.000 0.000 0.000 x4
Sm 0.161 0.301 0.515 x8